Ga2GeSe after structural relaxation, computed with PBE-GGA.

## Properties
spin magnetization: 0.00 μB per formula unit
space-group type: I-42d, No. 122
E_form (uncorrected): -1.18 eV/f.u.

Lattice parameters (Å, degrees): 7.167 7.167 7.167 132.17 132.17 69.96
Sites, in units of the cell vectors:
Ga (0.104, 0.625, 0.979)
Ga (0.375, 0.354, 0.479)
Ga (0.646, 0.125, 0.021)
Ga (0.875, 0.896, 0.521)
Ge (0.000, 0.000, 0.000)
Ge (0.750, 0.250, 0.500)
Se (0.250, 0.750, 0.500)
Se (0.500, 0.500, 0.000)

=====

GaGe2Se after structural relaxation, computed with PBE-GGA.

## Properties
spin magnetization: 0.00 μB per formula unit
space-group type: I-42d, No. 122
E_form (uncorrected): 0.38 eV/f.u.

Lattice parameters (Å, degrees): 7.395 7.395 7.395 133.31 133.31 68.16
Sites, in units of the cell vectors:
Ga (0.000, 0.000, 0.000)
Ga (0.750, 0.250, 0.500)
Ge (0.103, 0.625, 0.978)
Ge (0.375, 0.353, 0.478)
Ge (0.647, 0.125, 0.022)
Ge (0.875, 0.897, 0.522)
Se (0.250, 0.750, 0.500)
Se (0.500, 0.500, 0.000)

=====

Ga5Ge3Se12 after structural relaxation, computed with PBE-GGA.

## Properties
spin magnetization: 0.00 μB per formula unit
space-group type: Ia-3d, No. 230
E_form (uncorrected): -4.20 eV/f.u.

Lattice parameters (Å, degrees): 13.644 13.644 13.644 109.47 109.47 109.47
Sites, in units of the cell vectors:
Ga (0.000, 0.000, 0.000)
Ga (0.000, 0.000, 0.500)
Ga (0.000, 0.500, 0.000)
Ga (0.000, 0.500, 0.500)
Ga (0.125, 0.750, 0.875)
Ga (0.125, 0.875, 0.250)
Ga (0.250, 0.125, 0.875)
Ga (0.250, 0.625, 0.375)
Ga (0.375, 0.250, 0.625)
Ga (0.375, 0.625, 0.750)
Ga (0.500, 0.000, 0.000)
Ga (0.500, 0.000, 0.500)
Ga (0.500, 0.500, 0.000)
Ga (0.500, 0.500, 0.500)
Ga (0.625, 0.375, 0.250)
Ga (0.625, 0.750, 0.375)
Ga (0.750, 0.375, 0.625)
Ga (0.750, 0.875, 0.125)
Ga (0.875, 0.125, 0.750)
Ga (0.875, 0.250, 0.125)
Ge (0.125, 0.250, 0.375)
Ge (0.125, 0.375, 0.750)
Ge (0.250, 0.375, 0.125)
Ge (0.250, 0.875, 0.625)
Ge (0.375, 0.125, 0.250)
Ge (0.375, 0.750, 0.125)
Ge (0.625, 0.250, 0.875)
Ge (0.625, 0.875, 0.750)
Ge (0.750, 0.125, 0.375)
Ge (0.750, 0.625, 0.875)
Ge (0.875, 0.625, 0.250)
Ge (0.875, 0.750, 0.625)
Se (0.038, 0.214, 0.124)
Se (0.038, 0.324, 0.914)
Se (0.086, 0.624, 0.410)
Se (0.086, 0.962, 0.676)
Se (0.090, 0.714, 0.676)
Se (0.090, 0.876, 0.414)
Se (0.124, 0.038, 0.214)
Se (0.124, 0.586, 0.910)
Se (0.176, 0.214, 0.590)
Se (0.176, 0.462, 0.586)
Se (0.214, 0.124, 0.038)
Se (0.214, 0.590, 0.176)
Se (0.286, 0.324, 0.910)
Se (0.286, 0.462, 0.376)
Se (0.324, 0.910, 0.286)
Se (0.324, 0.914, 0.038)
Se (0.376, 0.286, 0.462)
Se (0.376, 0.590, 0.914)
Se (0.410, 0.086, 0.624)
Se (0.410, 0.824, 0.786)
Se (0.414, 0.090, 0.876)
Se (0.414, 0.824, 0.538)
Se (0.462, 0.376, 0.286)
Se (0.462, 0.586, 0.176)
Se (0.538, 0.414, 0.824)
Se (0.538, 0.624, 0.714)
Se (0.586, 0.176, 0.462)
Se (0.586, 0.910, 0.124)
Se (0.590, 0.176, 0.214)
Se (0.590, 0.914, 0.376)
Se (0.624, 0.410, 0.086)
Se (0.624, 0.714, 0.538)
Se (0.676, 0.086, 0.962)
Se (0.676, 0.090, 0.714)
Se (0.714, 0.538, 0.624)
Se (0.714, 0.676, 0.090)
Se (0.786, 0.410, 0.824)
Se (0.786, 0.876, 0.962)
Se (0.824, 0.538, 0.414)
Se (0.824, 0.786, 0.410)
Se (0.876, 0.414, 0.090)
Se (0.876, 0.962, 0.786)
Se (0.910, 0.124, 0.586)
Se (0.910, 0.286, 0.324)
Se (0.914, 0.038, 0.324)
Se (0.914, 0.376, 0.590)
Se (0.962, 0.676, 0.086)
Se (0.962, 0.786, 0.876)

=====

Ga2GeSe after structural relaxation, computed with PBE-GGA.

## Properties
spin magnetization: 0.00 μB per formula unit
space-group type: R-3m, No. 166
E_form (uncorrected): 0.40 eV/f.u.

Lattice parameters (Å, degrees): 7.650 7.650 7.650 30.40 30.40 30.40
Sites, in units of the cell vectors:
Ga (0.108, 0.108, 0.108)
Ga (0.892, 0.892, 0.892)
Ge (0.500, 0.500, 0.500)
Se (0.000, 0.000, 0.000)

=====

GaGe2Se2 after structural relaxation, computed with PBE-GGA.

## Properties
spin magnetization: 0.00 μB per formula unit
space-group type: I4/mmm, No. 139
E_form (uncorrected): 0.01 eV/f.u.

Lattice parameters (Å, degrees): 5.725 5.725 5.725 125.20 125.20 81.21
Sites, in units of the cell vectors:
Ga (0.000, 0.000, 0.000)
Ge (0.342, 0.342, 0.000)
Ge (0.658, 0.658, 0.000)
Se (0.250, 0.750, 0.500)
Se (0.750, 0.250, 0.500)

=====

Ga2GeSe6 after structural relaxation, computed with PBE-GGA.

## Properties
spin magnetization: 0.00 μB per formula unit
space-group type: C2/c, No. 15
E_form (uncorrected): -3.37 eV/f.u.

Lattice parameters (Å, degrees): 9.772 9.772 7.162 101.38 101.38 108.37
Sites, in units of the cell vectors:
Ga (0.067, 0.366, 0.471)
Ga (0.366, 0.067, 0.971)
Ga (0.634, 0.933, 0.029)
Ga (0.933, 0.634, 0.529)
Ge (0.346, 0.654, 0.750)
Ge (0.654, 0.346, 0.250)
Se (0.016, 0.158, 0.194)
Se (0.158, 0.016, 0.694)
Se (0.168, 0.631, 0.438)
Se (0.248, 0.407, 0.782)
Se (0.369, 0.832, 0.062)
Se (0.407, 0.248, 0.282)
Se (0.593, 0.752, 0.718)
Se (0.631, 0.168, 0.938)
Se (0.752, 0.593, 0.218)
Se (0.832, 0.369, 0.562)
Se (0.842, 0.984, 0.306)
Se (0.984, 0.842, 0.806)

=====

Ga2GeSe after structural relaxation, computed with PBE-GGA.

## Properties
spin magnetization: 0.00 μB per formula unit
space-group type: Fm-3m, No. 225
E_form (uncorrected): 0.63 eV/f.u.

Lattice parameters (Å, degrees): 4.849 4.849 4.849 60.00 60.00 60.00
Sites, in units of the cell vectors:
Ga (0.250, 0.250, 0.250)
Ga (0.750, 0.750, 0.750)
Ge (0.000, 0.000, 0.000)
Se (0.500, 0.500, 0.500)

=====

GaGeSe3 after structural relaxation, computed with PBE-GGA.

## Properties
spin magnetization: 0.00 μB per formula unit
space-group type: Pm-3m, No. 221
E_form (uncorrected): 1.06 eV/f.u.

Lattice parameters (Å, degrees): 5.043 5.043 5.043 90.00 90.00 90.00
Sites, in units of the cell vectors:
Ga (0.000, 0.000, 0.000)
Ge (0.500, 0.500, 0.500)
Se (0.000, 0.500, 0.500)
Se (0.500, 0.000, 0.500)
Se (0.500, 0.500, 0.000)

=====

GaGe2Se2 after structural relaxation, computed with PBE-GGA.

## Properties
spin magnetization: 0.00 μB per formula unit
space-group type: P4/mbm, No. 127
E_form (uncorrected): 0.09 eV/f.u.

Lattice parameters (Å, degrees): 7.775 7.775 3.793 90.00 90.00 90.00
Sites, in units of the cell vectors:
Ga (0.000, 0.000, 0.000)
Ga (0.500, 0.500, 0.000)
Ge (0.165, 0.335, 0.000)
Ge (0.335, 0.835, 0.000)
Ge (0.665, 0.165, 0.000)
Ge (0.835, 0.665, 0.000)
Se (0.175, 0.675, 0.500)
Se (0.325, 0.175, 0.500)
Se (0.675, 0.825, 0.500)
Se (0.825, 0.325, 0.500)

=====

GaGeSe3 after structural relaxation, computed with PBE-GGA.

## Properties
spin magnetization: 0.00 μB per formula unit
space-group type: C2/m, No. 12
E_form (uncorrected): -1.23 eV/f.u.

Lattice parameters (Å, degrees): 7.211 7.211 10.768 103.05 103.05 29.73
Sites, in units of the cell vectors:
Ga (0.173, 0.173, 0.379)
Ga (0.827, 0.827, 0.621)
Ge (0.433, 0.433, 0.230)
Ge (0.567, 0.567, 0.770)
Se (0.139, 0.139, 0.908)
Se (0.355, 0.355, 0.448)
Se (0.382, 0.382, 0.781)
Se (0.618, 0.618, 0.219)
Se (0.645, 0.645, 0.552)
Se (0.861, 0.861, 0.092)

=====

GaGeSe4 after structural relaxation, computed with PBE-GGA.

## Properties
spin magnetization: 0.00 μB per formula unit
space-group type: P-42c, No. 112
E_form (uncorrected): -1.59 eV/f.u.

Lattice parameters (Å, degrees): 5.677 5.677 10.012 90.00 90.00 90.00
Sites, in units of the cell vectors:
Ga (0.000, 0.000, 0.000)
Ga (0.000, 0.000, 0.500)
Ge (0.000, 0.500, 0.250)
Ge (0.500, 0.000, 0.750)
Se (0.258, 0.266, 0.876)
Se (0.258, 0.734, 0.624)
Se (0.266, 0.258, 0.376)
Se (0.266, 0.742, 0.124)
Se (0.734, 0.258, 0.124)
Se (0.734, 0.742, 0.376)
Se (0.742, 0.266, 0.624)
Se (0.742, 0.734, 0.876)

=====

Sm4GaGeSe2 after structural relaxation, computed with PBE-GGA.

## Properties
spin magnetization: 0.00 μB per formula unit
space-group type: I-4m2, No. 119
E_form (uncorrected): -10.33 eV/f.u.

Lattice parameters (Å, degrees): 7.315 7.315 7.315 132.01 132.01 70.22
Sites, in units of the cell vectors:
Sm (0.000, 0.500, 0.500)
Sm (0.247, 0.247, 0.000)
Sm (0.500, 0.000, 0.500)
Sm (0.753, 0.753, 0.000)
Ga (0.500, 0.500, 0.000)
Ge (0.750, 0.250, 0.500)
Se (0.000, 0.000, 0.000)
Se (0.250, 0.750, 0.500)